# PBE+U CsDyFeF6, optimized geometry
data_CsDyFeF6
_chemical_formula_sum 'Cs1 Dy1 Fe1 F6'
_cell_length_a 5.8298
_cell_length_b 5.8754
_cell_length_c 6.3886
_cell_angle_alpha 89.82
_cell_angle_beta 89.56
_cell_angle_gamma 60.37
_space_group_name_H-M_alt 'P 1'
_space_group_IT_number 1
loop_
_space_group_symop_operation_xyz
'x,y,z'
loop_
_atom_site_label
_atom_site_fract_x
_atom_site_fract_y
_atom_site_fract_z
_atom_site_occupancy
Cs1 0.0000 0.0000 0.0000 1
Dy1 0.6655 0.6691 0.4998 1
Fe1 0.3353 0.3286 0.4998 1
F1 0.0086 0.6049 0.3134 1
F2 0.0161 0.3794 0.6765 1
F3 0.3855 0.6064 0.6860 1
F4 0.3911 0.0037 0.3114 1
F5 0.6061 0.0047 0.6875 1
F6 0.6056 0.3777 0.3237 1
# **DOS(E_F)**: 0.000 states/eV/cell
# **Calculated total energy**: -0.423 Ry per atom